TbHo3Pu2S6 | GGA-PBE | relaxed

```
TbHo3Pu2S6
1.0
-2.3676 4.5663 -4.3948
-0.8087 -6.6059 -1.2162
-4.5483 0.7885 5.0020
Tb Ho Pu S
1 3 2 6
direct
0.0000 0.0000 0.0000 Tb
0.1667 0.8333 0.5000 Ho
0.8333 0.1667 0.5000 Ho
0.5000 0.5000 0.5000 Ho
0.3333 0.6667 0.0000 Pu
0.6667 0.3333 0.0000 Pu
0.9150 0.5820 0.7451 S
0.7523 0.7523 0.2558 S
0.0850 0.4180 0.2549 S
0.5820 0.9150 0.7451 S
0.2477 0.2477 0.7442 S
0.4180 0.0850 0.2549 S
```

Summary:
Formation energy without anion corrections ... -1.939 eV/atom
Calculated total energy ... -95.1 eV/cell
Mass density ... 8.7 g cm⁻³